YMnMo2: optimized geometry, PBE-GGA.

Distance to the lowest polymorph of the same formula (meV/atom): 303
Calculated density (Mg/m³): 8.48
ΔE_f (eV per atom): 0.5479
SG: Fm-3m (225)

a = 4.530 Å, b = 4.530 Å, c = 4.530 Å
α = 60.00°, β = 60.00°, γ = 60.00°
Atoms (fractional coordinates):
Y: 0.500 0.500 0.500
Mo: 0.250 0.250 0.250
Mo: 0.750 0.750 0.750
Mn: 0.000 0.000 0.000